[1]
DFT (PBE) results for an optimized crystal structure of K2CrSiRu.

Geometry as extended XYZ:
```
5
Lattice="6.0975 0.0000 0.0000 0.0000 6.0975 0.0000 0.0000 0.0000 4.7303" Properties=species:S:1:pos:R:3 pbc="T T T"
K 0.0000 3.0487 0.0000
K 3.0487 0.0000 0.0000
Cr 0.0000 0.0000 0.0000
Si 0.0000 0.0000 2.3652
Ru 3.0487 3.0487 2.3652
```

Summary:
For the total magnetic moment, the calculation gives 6.819 μB per formula unit. As for the electronic total energy: -3.793 eV per atom. For the mass density, the calculation gives 2.4 g/cm3. The value obtained for the energy relative to the elements, uncorrected is 1510.6 meV/atom.


[2]
DFT (PBE) results for an optimized crystal structure of KZr2CrRu.

Geometry as extended XYZ:
```
5
Lattice="5.0756 0.0000 0.0000 0.0000 5.0756 0.0000 0.0000 0.0000 5.0974" Properties=species:S:1:pos:R:3 pbc="T T T"
K 0.0000 0.0000 0.0000
Zr 0.0000 2.5378 2.5487
Zr 2.5378 0.0000 2.5487
Cr 2.5378 2.5378 0.0000
Ru 2.5378 2.5378 2.5487
```

Summary:
For the total magnetic moment, the calculation gives 3.130 μB per formula unit. As for the electronic total energy: -6.733 eV per atom. For the mass density, the calculation gives 4.7 g/cm3. The value obtained for the energy of formation from the pure elements is 3.43 eV/f.u.


[3]
DFT (PBE) results for an optimized crystal structure of K2CrS2.

Geometry as extended XYZ:
```
10
Lattice="-3.5898 6.1520 3.1137 3.5898 -6.1520 3.1137 3.5898 6.1520 -3.1137" Properties=species:S:1:pos:R:3 pbc="T T T"
K 1.0705 1.8264 0.0000
K 1.0705 -1.8264 3.1137
K 2.5193 7.9783 0.0000
K 2.5193 4.3256 3.1137
Cr 3.5898 0.0000 1.5569
Cr 0.0000 6.1520 1.5569
S 5.0083 1.1692 0.0000
S 1.4186 4.9828 0.0000
S 2.1712 1.1692 3.1137
S -1.4186 4.9828 3.1137
```

Summary:
For the total magnetic moment, the calculation gives 4.000 μB per formula unit. As for the electronic total energy: -4.871 eV per atom. For the mass density, the calculation gives 2.3 g/cm3. The value obtained for the energy relative to the elements, uncorrected is -856.4 meV/atom.


[4]
DFT (PBE) results for an optimized crystal structure of KCr2S4.

Geometry as extended XYZ:
```
28
Lattice="6.5521 0.0000 0.0000 -0.1408 8.2716 0.0000 -2.6029 -2.0332 13.0057" Properties=species:S:1:pos:R:3 pbc="T T T"
K 1.1298 1.9686 0.4167
K 0.3049 0.1826 6.0988
K 3.5034 6.0558 6.9069
K 2.6785 4.2698 12.5890
Cr -0.6936 2.1380 10.1185
Cr 0.0453 4.1996 6.5088
Cr -0.6495 6.2140 10.1057
Cr 1.0836 6.1297 2.9367
Cr 2.7247 0.1087 10.0690
Cr 4.4578 0.0244 2.9000
Cr 3.7630 2.0388 6.4969
Cr 4.5019 4.1004 2.8872
S 0.0127 4.4504 2.0232
S 0.1135 -0.2770 2.4336
S -0.9957 2.5089 7.8834
S -0.1753 5.9600 7.9917
S 0.9942 5.8014 5.0406
S -0.1630 4.1859 10.9567
S 0.4588 0.0830 10.6579
S 1.7095 2.7623 5.5282
S 2.0988 3.4761 7.4775
S 3.3495 6.1554 2.3478
S 3.9713 2.0525 2.0490
S 2.8141 0.4370 7.9651
S 3.9836 0.2784 5.0140
S 4.8040 3.7295 5.1223
S 3.6948 6.5154 10.5721
S 3.7956 1.7880 10.9825
```

Summary:
For the total magnetic moment, the calculation gives 5.500 μB per formula unit. As for the electronic total energy: -5.874 eV per atom. For the mass density, the calculation gives 2.6 g/cm3. The value obtained for the energy relative to the elements, uncorrected is -608.7 meV/atom. The offset from the most stable computed form comes out at 1.641 eV per formula unit.


Values of Fermi-level density of states, in order: 4.93; 4.73; 2.49; 3.19, all in states/eV/f.u..